1.
Here is Mg2SbCl at its PBEsol-relaxed geometry from the Alexandria database. Energies are from SCAN.

Output
Energy relative to the elements, uncorrected: -0.52 eV/atom
Energy relative to the lowest polymorph listed for this composition: 1.410 eV/f.u.
Magnetization: 0.00 μB per formula unit

a b c (Å): 3.1570 5.6441 6.1555
angles (deg): 117.29 104.86 90.00
Closest atoms and distances in Å follow each position.
Fractional coordinates of all 4 atoms:
Mg1 0.9764 0.9764 0.9527  2 Cl 2.50
Mg2 0.7428 0.2428 0.4855  2 Sb 3.03, 4 Mg 3.16-3.21, 4 Cl 3.27
Sb1 0.4898 0.4898 0.9797  6 Mg 3.03-3.24, 2 Sb 3.16
Cl1 0.2911 0.7911 0.5821  2 Mg 2.50

---

2.
Here is Mn2TlRh at its PBEsol-relaxed geometry from the Alexandria database. Energies are from SCAN.

Output
Energy relative to the lowest polymorph listed for this composition: 0.058 eV/f.u.
DFT formation energy: -0.135 eV/atom
Magnetization: 8.57 μB per formula unit

a b c (Å): 4.4423 4.4423 4.4423
angles (deg): 60.00 60.00 60.00
Closest atoms and distances in Å follow each position.
Fractional coordinates of all 4 atoms:
Rh1 0.0000 0.0000 0.0000  8 Mn 2.72
Mn1 0.2500 0.2500 0.2500  4 Rh 2.72, 4 Tl 2.72
Mn2 0.7500 0.7500 0.7500  4 Tl 2.72, 4 Rh 2.72
Tl1 0.5000 0.5000 0.5000  8 Mn 2.72

---

3.
Here is MgRhC3 at its PBEsol-relaxed geometry from the Alexandria database. Energies are from SCAN.

Output
DFT formation energy: 2.032 eV/atom
Magnetization: 0.00 μB per formula unit

a b c (Å): 3.9518 3.9518 3.9518
angles (deg): 90.00 90.00 90.00
Closest atoms and distances in Å follow each position.
Fractional coordinates of all 5 atoms:
Mg1 0.5000 0.5000 0.5000  12 C 2.79
C1 0.0000 0.5000 0.0000  2 Rh 1.98
C2 0.5000 0.0000 0.0000  2 Rh 1.98
C3 0.0000 0.0000 0.5000  2 Rh 1.98
Rh1 0.0000 0.0000 0.0000  6 C 1.98

---

4.
Here is ZnNiIr2 at its PBEsol-relaxed geometry from the Alexandria database. Energies are from SCAN.

Output
DFT formation energy: -0.074 eV/atom
Magnetization: 0.32 μB per formula unit

a b c (Å): 2.6967 2.6967 7.1429
angles (deg): 90.00 90.00 90.00
Closest atoms and distances in Å follow each position.
Fractional coordinates of all 4 atoms:
Zn1 0.5000 0.5000 0.7347  4 Ni 2.53, 4 Zn 2.70, 4 Ir 2.70
Ni1 0.0000 0.0000 0.5025  4 Zn 2.53, 4 Ir 2.57, 4 Ni 2.70
Ir1 0.5000 0.5000 0.2604  4 Ni 2.57, 8 Ir 2.65-2.70
Ir2 0.0000 0.0000 0.0024  8 Ir 2.65-2.70, 4 Zn 2.70

---

5.
Here is Mo2WS6 at its PBEsol-relaxed geometry from the Alexandria database. Energies are from SCAN.

Output
Energy relative to the elements, uncorrected: -0.90 eV/atom
Energy relative to the lowest polymorph listed for this composition: 0.022 eV/f.u.
Magnetization: 0.00 μB per formula unit

a b c (Å): 3.1390 3.1390 19.2737
angles (deg): 90.00 90.00 120.00
Closest atoms and distances in Å follow each position.
Fractional coordinates of all 9 atoms:
Mo1 0.6667 0.3333 0.3207  6 S 2.39
Mo2 0.6667 0.3333 0.6793  6 S 2.39
S1 0.6667 0.3333 0.0815  3 W 2.40
S2 0.3333 0.6667 0.5986  3 Mo 2.39
S3 0.3333 0.6667 0.4014  3 Mo 2.39
S4 0.3333 0.6667 0.2399  3 Mo 2.39
S5 0.3333 0.6667 0.7601  3 Mo 2.39
S6 0.6667 0.3333 0.9185  3 W 2.40
W1 0.3333 0.6667 0.0000  6 S 2.40

---

6.
Here is In2FeAs at its PBEsol-relaxed geometry from the Alexandria database. Energies are from SCAN.

Output
DFT formation energy: 0.127 eV/atom
Magnetization: 1.75 μB per formula unit

a b c (Å): 2.9743 2.9743 8.3097
angles (deg): 90.00 90.00 90.00
Closest atoms and distances in Å follow each position.
Fractional coordinates of all 4 atoms:
In1 0.5000 0.5000 0.2633  4 In 2.97
In2 0.0000 0.0000 0.9415  4 Fe 2.80, 4 In 2.97, 1 As 3.04
Fe1 0.5000 0.5000 0.7190  4 As 2.41
As1 0.0000 0.0000 0.5763  4 Fe 2.41

---

7.
Here is Cd2InAg at its PBEsol-relaxed geometry from the Alexandria database. Energies are from SCAN.

Output
DFT formation energy: 0.034 eV/atom
Magnetization: 0.00 μB per formula unit

a b c (Å): 3.0834 4.2701 6.1386
angles (deg): 90.00 90.00 90.00
Closest atoms and distances in Å follow each position.
Fractional coordinates of all 4 atoms:
Cd1 0.0000 0.0000 0.9932  2 In 2.96-3.18, 4 Ag 3.01, 6 Cd 3.04-3.08
Cd2 0.5000 0.5000 0.2403  2 Ag 2.98-3.16, 6 Cd 3.04-3.08, 4 In 3.12
Ag1 0.5000 0.5000 0.7552  6 Cd 2.98-3.16, 4 In 3.03, 2 Ag 3.08
In1 0.0000 0.0000 0.5114  6 Cd 2.96-3.18, 4 Ag 3.03, 2 In 3.08

---

8.
Here is MnZnAg at its PBEsol-relaxed geometry from the Alexandria database. Energies are from SCAN.

Output
Energy relative to the lowest polymorph listed for this composition: 0.000 eV/f.u.
DFT formation energy: -0.063 eV/atom
Magnetization: 4.02 μB per formula unit

a b c (Å): 2.7681 3.8361 4.7401
angles (deg): 113.87 106.98 90.00
Closest atoms and distances in Å follow each position.
Fractional coordinates of all 3 atoms:
Zn1 0.6702 0.6702 0.3404  5 Mn 2.70-2.81, 5 Ag 2.72-2.74, 2 Zn 2.77
Mn1 0.3284 0.3284 0.6568  5 Ag 2.69-2.76, 5 Zn 2.70-2.81, 2 Mn 2.77
Ag1 0.0014 0.0014 0.0028  5 Mn 2.69-2.76, 5 Zn 2.72-2.74, 2 Ag 2.77